# Cd2HgAu, single point on PBEsol structure, DFT meta-GGA SCAN
data_Cd2HgAu
_chemical_formula_sum 'Cd8 Hg4 Au4'
_cell_length_a 6.788
_cell_length_b 6.788
_cell_length_c 6.788
_cell_angle_alpha 90.00
_cell_angle_beta 90.00
_cell_angle_gamma 90.00
_symmetry_space_group_name_H-M 'P 1'
_symmetry_Int_Tables_number 1
_symmetry_space_group_name_Hall 'P 1'
loop_
_atom_site_label
_atom_site_fract_x
_atom_site_fract_y
_atom_site_fract_z
Cd1 0.250 0.250 0.250
Cd2 0.250 0.250 0.750
Cd3 0.250 0.750 0.250
Cd4 0.250 0.750 0.750
Cd5 0.750 0.250 0.250
Cd6 0.750 0.250 0.750
Cd7 0.750 0.750 0.250
Cd8 0.750 0.750 0.750
Hg1 0.000 0.000 0.000
Hg2 0.000 0.500 0.500
Hg3 0.500 0.000 0.500
Hg4 0.500 0.500 0.000
Au1 0.000 0.000 0.500
Au2 0.000 0.500 0.000
Au3 0.500 0.000 0.000
Au4 0.500 0.500 0.500
# - space-group type = No. 225
# - spin magnetization (μB/f.u.) = 0.00
# - formation energy from the elements (eV per atom) = -0.0765